## one
SrCaTa | GGA-PBE | optimized geometry

It has space group Imm2 (No. 44), with a = 3.257 Å, b = 5.045 Å, c = 11.090 Å, α = 90.00°, β = 90.00° and γ = 90.00°. Symmetry generates all atoms from Sr at (0.000, 0.000, 0.000), Ca at (0.000, 0.000, 0.306) and Ta at (0.000, 0.000, 0.664).

For the magnetic moment, the calculation gives 1.70 μB/f.u. As for the crystal system: orthorhombic.

=====

## two
SrCaTa | GGA-PBE | optimized geometry

It has space group F-43m (No. 216), with a = 7.852 Å, b = 7.852 Å, c = 7.852 Å, α = 90.00°, β = 90.00° and γ = 90.00°. Symmetry generates all atoms from Sr at (0.000, 0.000, 0.000), Ca at (0.000, 0.000, 0.500) and Ta at (0.250, 0.250, 0.750).

For the magnetic moment, the calculation gives 4.59 μB/f.u. As for the crystal system: cubic.

=====

## three
SrCaTa | GGA-PBE | optimized geometry

It has space group I4mm (No. 107), with a = 3.308 Å, b = 3.308 Å, c = 16.682 Å, α = 90.00°, β = 90.00° and γ = 90.00°. Symmetry generates all atoms from Sr at (0.000, 0.000, 0.000), Ca at (0.000, 0.000, 0.287) and Ta at (0.000, 0.000, 0.649).

For the magnetic moment, the calculation gives 0.00 μB/f.u. As for the crystal system: tetragonal.

=====

## four
SrCaTa | GGA-PBE | optimized geometry

It has space group P3m1 (No. 156), with a = 3.4101 Å, b = 3.4101 Å, c = 8.9103 Å, α = 90.00°, β = 90.00° and γ = 120.00°. Symmetry generates all atoms from Sr at (0.0000, 0.0000, 0.0000), Ca at (0.6667, 0.3333, 0.5906) and Ta at (0.3333, 0.6667, 0.3027).

For the magnetic moment, the calculation gives 0.00 μB/f.u. As for the crystal system: trigonal.

=====

Stability ranking, top entry: three; the second entry is 3.4 kJ/mol of atoms less favorable.

=====

## one
SrCa2Ta2 | GGA-PBE | optimized geometry

It has space group P4/mbm (No. 127), with a = 9.286 Å, b = 9.286 Å, c = 3.452 Å, α = 90.00°, β = 90.00° and γ = 90.00°. Symmetry generates all atoms from Sr at (0.000, 0.000, 0.000), Ca at (0.192, 0.308, 0.500) and Ta at (0.093, 0.593, 0.000).

For the magnetic moment, the calculation gives 0.00 μB/f.u. As for the crystal system: tetragonal.

=====

## two
SrCa2Ta2 | GGA-PBE | optimized geometry

It has space group I4/mmm (No. 139), with a = 4.893 Å, b = 4.893 Å, c = 13.904 Å, α = 90.00°, β = 90.00° and γ = 90.00°. Symmetry generates all atoms from Sr at (0.000, 0.000, 0.000), Ca at (0.000, 0.500, 0.250) and Ta at (0.000, 0.000, 0.417).

For the magnetic moment, the calculation gives 0.00 μB/f.u. As for the crystal system: tetragonal.

=====

Stability ranking, top entry: one; the second entry is 27.7 kJ/mol of atoms less favorable.

=====

## one
SrCa3Ta | GGA-PBE | optimized geometry

It has space group Pm-3m (No. 221), with a = 5.821 Å, b = 5.821 Å, c = 5.821 Å, α = 90.00°, β = 90.00° and γ = 90.00°. Symmetry generates all atoms from Sr at (0.000, 0.000, 0.000), Ca at (0.000, 0.500, 0.500) and Ta at (0.500, 0.500, 0.500).

For the magnetic moment, the calculation gives 0.00 μB/f.u. As for the crystal system: cubic.

=====

## two
SrCa3Ta | GGA-PBE | optimized geometry

It has space group Pm-3m (No. 221), with a = 5.560 Å, b = 5.560 Å, c = 5.560 Å, α = 90.00°, β = 90.00° and γ = 90.00°. Symmetry generates all atoms from Sr at (0.000, 0.000, 0.000), Ca at (0.000, 0.000, 0.500) and Ta at (0.500, 0.500, 0.500).

For the magnetic moment, the calculation gives 0.00 μB/f.u. As for the crystal system: cubic.

=====

Stability ranking, top entry: one; the second entry is 104.6 kJ/mol of atoms less favorable.

=====

## one
SrCa2Tb | GGA-PBE | optimized geometry

It has space group P4/mmm (No. 123), with a = 6.166 Å, b = 6.166 Å, c = 4.246 Å, α = 90.00°, β = 90.00° and γ = 90.00°. Symmetry generates all atoms from Sr at (0.000, 0.000, 0.000), Ca at (0.000, 0.500, 0.500) and Tb at (0.500, 0.500, 0.000).

For the magnetic moment, the calculation gives 0.00 μB/f.u. As for the crystal system: tetragonal.

=====

## two
SrCa2Tb | GGA-PBE | optimized geometry

It has space group R3m (No. 160, hexagonal axes), with a = 3.8525 Å, b = 3.8525 Å, c = 38.4768 Å, α = 90.00°, β = 90.00° and γ = 120.00°. Symmetry generates all atoms from Sr at (0.0000, 0.0000, 0.0000), Ca at (0.0000, 0.0000, 0.5784), Ca at (0.0000, 0.0000, 0.7553) and Tb at (0.0000, 0.0000, 0.1671).

For the magnetic moment, the calculation gives 0.65 μB/f.u. As for the crystal system: trigonal.

=====

Stability ranking, top entry: two; the second entry is 3.2 kJ/mol of atoms less favorable.

=====

## one
SrCa2Tb | GGA-PBE | optimized geometry

It has space group P4/mmm (No. 123), with a = 4.057 Å, b = 4.057 Å, c = 10.009 Å, α = 90.00°, β = 90.00° and γ = 90.00°. Symmetry generates all atoms from Sr at (0.000, 0.000, 0.000), Ca at (0.500, 0.500, 0.280) and Tb at (0.000, 0.000, 0.500).

For the magnetic moment, the calculation gives 0.00 μB/f.u. As for the crystal system: tetragonal.

=====

## two
SrCa2Tb | GGA-PBE | optimized geometry

It has space group R-3m (No. 166, hexagonal axes), with a = 3.8557 Å, b = 3.8557 Å, c = 38.4070 Å, α = 90.00°, β = 90.00° and γ = 120.00°. Symmetry generates all atoms from Sr at (0.0000, 0.0000, 0.0000), Ca at (0.0000, 0.0000, 0.2449) and Tb at (0.0000, 0.0000, 0.5000).

For the magnetic moment, the calculation gives 0.41 μB/f.u. As for the crystal system: trigonal.

=====

## three
SrCa2Tb | GGA-PBE | optimized geometry

It has space group Fm-3m (No. 225), with a = 8.651 Å, b = 8.651 Å, c = 8.651 Å, α = 90.00°, β = 90.00° and γ = 90.00°. Symmetry generates all atoms from Sr at (0.000, 0.000, 0.000), Ca at (0.250, 0.250, 0.250) and Tb at (0.000, 0.000, 0.500).

For the magnetic moment, the calculation gives 0.00 μB/f.u. As for the crystal system: cubic.

=====

Stability ranking, top entry: one; the second entry is 1.3 kJ/mol of atoms less favorable.

=====

## one
Sr2CaTb | GGA-PBE | optimized geometry

It has space group R-3m (No. 166, hexagonal axes), with a = 3.8431 Å, b = 3.8431 Å, c = 41.5760 Å, α = 90.00°, β = 90.00° and γ = 120.00°. Symmetry generates all atoms from Sr at (0.0000, 0.0000, 0.0859), Ca at (0.0000, 0.0000, 0.5000) and Tb at (0.0000, 0.0000, 0.0000).

For the magnetic moment, the calculation gives 0.63 μB/f.u. As for the crystal system: trigonal.

=====

## two
Sr2CaTb | GGA-PBE | optimized geometry

It has space group R3m (No. 160, hexagonal axes), with a = 3.9313 Å, b = 3.9313 Å, c = 39.3922 Å, α = 90.00°, β = 90.00° and γ = 120.00°. Symmetry generates all atoms from Sr at (0.0000, 0.0000, 0.0000), Sr at (0.0000, 0.0000, 0.1739), Ca at (0.0000, 0.0000, 0.4204) and Tb at (0.0000, 0.0000, 0.5869).

For the magnetic moment, the calculation gives 0.95 μB/f.u. As for the crystal system: trigonal.

=====

## three
Sr2CaTb | GGA-PBE | optimized geometry

It has space group P4/mmm (No. 123), with a = 6.255 Å, b = 6.255 Å, c = 4.383 Å, α = 90.00°, β = 90.00° and γ = 90.00°. Symmetry generates all atoms from Sr at (0.000, 0.500, 0.000), Ca at (0.000, 0.000, 0.500) and Tb at (0.500, 0.500, 0.500).

For the magnetic moment, the calculation gives 0.00 μB/f.u. As for the crystal system: tetragonal.

=====

Stability ranking, top entry: two; the second entry is 2.6 kJ/mol of atoms less favorable.

=====

## one
Sr2CaTb | GGA-PBE | optimized geometry

It has space group P4/mmm (No. 123), with a = 3.933 Å, b = 3.933 Å, c = 11.426 Å, α = 90.00°, β = 90.00° and γ = 90.00°. Symmetry generates all atoms from Sr at (0.000, 0.000, 0.237), Ca at (0.500, 0.500, 0.500) and Tb at (0.500, 0.500, 0.000).

For the magnetic moment, the calculation gives 1.03 μB/f.u. As for the crystal system: tetragonal.

=====

## two
Sr2CaTb | GGA-PBE | optimized geometry

It has space group Fm-3m (No. 225), with a = 8.833 Å, b = 8.833 Å, c = 8.833 Å, α = 90.00°, β = 90.00° and γ = 90.00°. Symmetry generates all atoms from Sr at (0.250, 0.250, 0.250), Ca at (0.000, 0.000, 0.000) and Tb at (0.000, 0.000, 0.500).

For the magnetic moment, the calculation gives 0.00 μB/f.u. As for the crystal system: cubic.

=====

Stability ranking, top entry: one; the second entry is 2.1 kJ/mol of atoms less favorable.

=====

## one
Sr2CaTc | GGA-PBE | optimized geometry

It has space group I-42d (No. 122), with a = 10.875 Å, b = 10.875 Å, c = 5.622 Å, α = 90.00°, β = 90.00° and γ = 90.00°. Symmetry generates all atoms from Sr at (0.106, 0.250, 0.125), Ca at (0.000, 0.000, 0.500) and Tc at (0.000, 0.000, 0.000).

For the magnetic moment, the calculation gives 1.20 μB/f.u. As for the crystal system: tetragonal.

=====

## two
Sr2CaTc | GGA-PBE | optimized geometry

It has space group P4mm (No. 99), with a = 3.692 Å, b = 3.692 Å, c = 10.343 Å, α = 90.00°, β = 90.00° and γ = 90.00°. Symmetry generates all atoms from Sr at (0.000, 0.000, 0.000), Sr at (0.500, 0.500, 0.341), Ca at (0.500, 0.500, 0.689) and Tc at (0.000, 0.000, 0.528).

For the magnetic moment, the calculation gives 1.73 μB/f.u. As for the crystal system: tetragonal.

=====

## three
Sr2CaTc | GGA-PBE | optimized geometry

It has space group R-3m (No. 166, hexagonal axes), with a = 3.7539 Å, b = 3.7539 Å, c = 34.6734 Å, α = 90.00°, β = 90.00° and γ = 120.00°. Symmetry generates all atoms from Sr at (0.0000, 0.0000, 0.2292), Ca at (0.0000, 0.0000, 0.0000) and Tc at (0.0000, 0.0000, 0.5000).

For the magnetic moment, the calculation gives 0.50 μB/f.u. As for the crystal system: trigonal.

=====

## four
Sr2CaTc | GGA-PBE | optimized geometry

It has space group Imm2 (No. 44), with a = 3.648 Å, b = 5.947 Å, c = 13.030 Å, α = 90.00°, β = 90.00° and γ = 90.00°. Symmetry generates all atoms from Sr at (0.000, 0.000, 0.000), Sr at (0.000, 0.500, 0.187), Ca at (0.000, 0.000, 0.368) and Tc at (0.000, 0.500, 0.692).

For the magnetic moment, the calculation gives 1.37 μB/f.u. As for the crystal system: orthorhombic.

=====

Stability ranking, top entry: two; the second entry is 3.9 kJ/mol of atoms less favorable.

=====

## one
Sr2CaTc | GGA-PBE | optimized geometry

It has space group R3m (No. 160, hexagonal axes), with a = 3.7844 Å, b = 3.7844 Å, c = 34.4036 Å, α = 90.00°, β = 90.00° and γ = 120.00°. Symmetry generates all atoms from Sr at (0.0000, 0.0000, 0.0000), Sr at (0.0000, 0.0000, 0.2246), Ca at (0.0000, 0.0000, 0.7704) and Tc at (0.0000, 0.0000, 0.4953).

For the magnetic moment, the calculation gives 0.57 μB/f.u. As for the crystal system: trigonal.

=====

## two
Sr2CaTc | GGA-PBE | optimized geometry

It has space group I4/mmm (No. 139), with a = 5.309 Å, b = 5.309 Å, c = 9.063 Å, α = 90.00°, β = 90.00° and γ = 90.00°. Symmetry generates all atoms from Sr at (0.000, 0.500, 0.250), Ca at (0.000, 0.000, 0.000) and Tc at (0.000, 0.000, 0.500).

For the magnetic moment, the calculation gives 1.16 μB/f.u. As for the crystal system: tetragonal.

=====

Stability ranking, top entry: one; the second entry is 0.9 kJ/mol of atoms less favorable.

=====

## one
Sr2CaTc | GGA-PBE | optimized geometry

It has space group Fm-3m (No. 225), with a = 8.026 Å, b = 8.026 Å, c = 8.026 Å, α = 90.00°, β = 90.00° and γ = 90.00°. Symmetry generates all atoms from Sr at (0.250, 0.250, 0.250), Ca at (0.000, 0.000, 0.000) and Tc at (0.000, 0.000, 0.500).

For the magnetic moment, the calculation gives 1.34 μB/f.u. As for the crystal system: cubic.

=====

## two
Sr2CaTc | GGA-PBE | optimized geometry

It has space group P4/mmm (No. 123), with a = 5.110 Å, b = 5.110 Å, c = 4.983 Å, α = 90.00°, β = 90.00° and γ = 90.00°. Symmetry generates all atoms from Sr at (0.000, 0.500, 0.000), Ca at (0.000, 0.000, 0.500) and Tc at (0.500, 0.500, 0.500).

For the magnetic moment, the calculation gives 1.31 μB/f.u. As for the crystal system: tetragonal.

=====

## three
Sr2CaTc | GGA-PBE | optimized geometry

It has space group I-4m2 (No. 119), with a = 5.320 Å, b = 5.320 Å, c = 8.880 Å, α = 90.00°, β = 90.00° and γ = 90.00°. Symmetry generates all atoms from Sr at (0.000, 0.000, 0.000), Sr at (0.000, 0.500, 0.250), Ca at (0.000, 0.000, 0.500) and Tc at (0.000, 0.500, 0.750).

For the magnetic moment, the calculation gives 1.03 μB/f.u. As for the crystal system: tetragonal.

=====

## four
Sr2CaTc | GGA-PBE | optimized geometry

It has space group Immm (No. 71), with a = 3.550 Å, b = 5.152 Å, c = 16.588 Å, α = 90.00°, β = 90.00° and γ = 90.00°. Symmetry generates all atoms from Sr at (0.000, 0.000, 0.156), Ca at (0.000, 0.500, 0.000) and Tc at (0.000, 0.500, 0.500).

For the magnetic moment, the calculation gives 1.41 μB/f.u. As for the crystal system: orthorhombic.

=====

Stability ranking, top entry: four; the second entry is 10.4 kJ/mol of atoms less favorable.